Material: BaHgAsO
Method: DFT, PBE
State: relaxed

Cell and atoms, written as extended XYZ:
```
8
Lattice="3.7656 0.0000 0.0000 0.0000 6.3907 0.0000 0.0000 0.0000 8.3020" Properties=species:S:1:pos:R:3 pbc="T T T"
Hg 0.0000 0.9437 3.8397
O 1.8828 2.3213 3.3821
As 0.0000 1.1768 6.4605
O 1.8828 4.0694 7.5331
As 0.0000 5.2139 2.3095
Ba 1.8828 2.1903 0.8793
Ba 1.8828 4.2004 5.0303
Hg 0.0000 5.4470 7.9907
```

Results
For the volume, the calculation gives 100 Å³/f.u. Its relative energy among the computed polymorphs is 225 meV per atom. The calculated total energy is -29.95 eV per cell.